# Pr2YEr (PBE, relaxed)
# energy of formation = 0.011 eV per atom
# space-group type = R-3m, No. 166
data_Pr2YEr
_space_group_name_H-M_alt 'P 1'
_space_group_IT_number 1
_space_group_name_Hall 'P 1'
_cell_length_a 3.6359
_cell_length_b 3.6359
_cell_length_c 11.9053
_cell_angle_alpha 81.22
_cell_angle_beta 81.22
_cell_angle_gamma 60.00
loop_
_atom_site_label
_atom_site_type_symbol
_atom_site_fract_x
_atom_site_fract_y
_atom_site_fract_z
_atom_site_occupancy
Pr1 Pr 0.2507 0.2507 0.2480 1
Er1 Er 0.0000 0.0000 0.0000 1
Y1 Y 0.5000 0.5000 0.5000 1
Pr2 Pr 0.7493 0.7493 0.7520 1